No. 1
An optimized crystal structure of SrYZn2Co, computed with GGA-PBE.

Results
calculated volume = 23.33 A^3/atom
space-group type = P4/mmm (123)
E_form = -0.061 eV per atom

Cell and atoms, written as extended XYZ:
```
5
Lattice="-4.028 0.529 2.799 -2.843 -1.044 -3.894 0.170 -4.656 1.124" Properties=species:S:1:pos:R:3 pbc="T T T"
Co 0.000 0.000 0.000
Sr -3.350 -2.586 0.015
Zn -1.421 -0.522 -1.947
Zn -2.014 0.264 1.399
Y 0.085 -2.328 0.562
```

---

No. 2
An optimized crystal structure of SrYZn2Co, computed with GGA-PBE.

Results
calculated volume = 28.54 A^3/atom
space-group type = P4/mmm (123)
E_form = 0.531 eV per atom

Cell and atoms, written as extended XYZ:
```
5
Lattice="-5.077 -0.419 -1.983 -1.135 -2.998 3.541 -1.556 4.235 3.087" Properties=species:S:1:pos:R:3 pbc="T T T"
Zn -0.778 2.117 1.543
Y 0.000 0.000 0.000
Zn -2.538 -0.210 -0.991
Sr -3.884 0.409 2.322
Co -0.568 -1.499 1.770
```

---

No. 3
An optimized crystal structure of SrZnCo2, computed with GGA-PBE.

Results
calculated volume = 17.76 A^3/atom
space-group type = Immm (71)
E_form = 0.618 eV per atom

Cell and atoms, written as extended XYZ:
```
4
Lattice="5.268 0.074 0.084 1.850 4.933 -0.084 -2.953 -3.364 2.779" Properties=species:S:1:pos:R:3 pbc="T T T"
Co 3.329 2.342 0.000
Sr 2.937 -0.393 1.431
Co 0.230 0.162 0.000
Zn 1.228 2.036 1.348
```

---

No. 4
An optimized crystal structure of SrZn4Co, computed with GGA-PBE.

Results
calculated volume = 17.37 A^3/atom
space-group type = F-43m (216)
E_form = 0.077 eV per atom

Cell and atoms, written as extended XYZ:
```
6
Lattice="0.000 3.735 3.735 3.735 0.000 3.735 3.735 3.735 0.000" Properties=species:S:1:pos:R:3 pbc="T T T"
Sr 0.000 0.000 0.000
Zn 2.817 2.817 2.817
Co 5.603 5.603 5.603
Zn 2.817 4.653 4.653
Zn 4.653 4.653 2.817
Zn 4.653 2.817 4.653
```

---

Repeat the third record exactly.
An optimized crystal structure of SrZnCo2, computed with GGA-PBE.

Results
calculated volume = 17.76 A^3/atom
space-group type = Immm (71)
E_form = 0.618 eV per atom

Cell and atoms, written as extended XYZ:
```
4
Lattice="5.268 0.074 0.084 1.850 4.933 -0.084 -2.953 -3.364 2.779" Properties=species:S:1:pos:R:3 pbc="T T T"
Co 3.329 2.342 0.000
Sr 2.937 -0.393 1.431
Co 0.230 0.162 0.000
Zn 1.228 2.036 1.348
```